# Tb2SmTl3Se6, optimized geometry, DFT GGA-PBE
# - DFT total energy: -4.8868 eV per atom
# - Total magnetization: 0.00 Bohr magnetons per cell
# - Formation energy (no corrections): -1388 meV/atom
data_Tb2SmTl3Se6
_chemical_formula_sum 'Tb4 Sm2 Tl6 Se12'
_space_group_name_H-M_alt 'C 1 2/m 1'
_space_group_IT_number 12
_space_group_name_Hall '-C 2y'
_cell_length_a 7.322
_cell_length_b 12.681
_cell_length_c 8.143
_cell_angle_alpha 90.00
_cell_angle_beta 107.45
_cell_angle_gamma 90.00
loop_
_atom_site_label
_atom_site_fract_x
_atom_site_fract_y
_atom_site_fract_z
_atom_site_occupancy
Tb1 0.000 0.167 0.000 1
Sm1 0.000 0.500 0.000 1
Tl1 0.000 0.000 0.500 1
Tl2 0.000 0.334 0.500 1
Se1 0.231 0.000 0.206 1
Se2 0.238 0.331 0.206 1

# TbSmTl2Se4, optimized geometry, DFT GGA-PBE
# - DFT total energy: -4.8890 eV per atom
# - Total magnetization: 0.00 Bohr magnetons per cell
# - Formation energy (no corrections): -1387 meV/atom
data_TbSmTl2Se4
_chemical_formula_sum 'Tb1 Sm1 Tl2 Se4'
_space_group_name_H-M_alt 'P 1 2/m 1'
_space_group_IT_number 10
_space_group_name_Hall '-P 2y'
_cell_length_a 7.343
_cell_length_b 4.239
_cell_length_c 8.142
_cell_angle_alpha 90.00
_cell_angle_beta 107.48
_cell_angle_gamma 90.00
loop_
_atom_site_label
_atom_site_fract_x
_atom_site_fract_y
_atom_site_fract_z
_atom_site_occupancy
Tb1 0.000 0.000 0.000 1
Sm1 0.500 0.500 0.000 1
Tl1 0.000 0.500 0.500 1
Tl2 0.500 0.000 0.500 1
Se1 0.232 0.500 0.206 1
Se2 0.260 0.000 0.792 1

# TbSm4TmSe8, optimized geometry, DFT GGA-PBE
# - DFT total energy: -5.7099 eV per atom
# - Total magnetization: 0.00 Bohr magnetons per cell
# - Formation energy (no corrections): -1720 meV/atom
data_TbSm4TmSe8
_chemical_formula_sum 'Tb3 Sm12 Tm3 Se24'
_space_group_name_H-M_alt 'R 3 m'
_space_group_IT_number 160
_space_group_name_Hall 'R 3 -2"'
_cell_length_a 8.5306
_cell_length_b 8.5306
_cell_length_c 20.8710
_cell_angle_alpha 90.00
_cell_angle_beta 90.00
_cell_angle_gamma 120.00
loop_
_atom_site_label
_atom_site_fract_x
_atom_site_fract_y
_atom_site_fract_z
_atom_site_occupancy
Tb1 0.0000 0.0000 0.0000 1
Sm1 0.0000 0.0000 0.6233 1
Sm2 0.1684 0.3368 0.8318 1
Tm1 0.0000 0.0000 0.3741 1
Se1 0.0000 0.0000 0.2453 1
Se2 0.0000 0.0000 0.7563 1
Se3 0.0139 0.5070 0.7486 1
Se4 0.1790 0.3580 0.5809 1

# TbSm2TmSe6, optimized geometry, DFT GGA-PBE
# - DFT total energy: -5.7895 eV per atom
# - Total magnetization: 0.00 Bohr magnetons per cell
# - Formation energy (no corrections): -1845 meV/atom
data_TbSm2TmSe6
_chemical_formula_sum 'Tb3 Sm6 Tm3 Se18'
_space_group_name_H-M_alt 'R 3'
_space_group_IT_number 146
_space_group_name_Hall 'R 3'
_cell_length_a 7.2820
_cell_length_b 7.2820
_cell_length_c 19.5107
_cell_angle_alpha 90.00
_cell_angle_beta 90.00
_cell_angle_gamma 120.00
loop_
_atom_site_label
_atom_site_fract_x
_atom_site_fract_y
_atom_site_fract_z
_atom_site_occupancy
Tb1 0.0000 0.0000 0.0000 1
Sm1 0.0000 0.0000 0.3005 1
Sm2 0.0000 0.0000 0.8013 1
Tm1 0.0000 0.0000 0.4988 1
Se1 0.0368 0.6832 0.5698 1
Se2 0.0387 0.3602 0.0707 1